1.
NaHo2NpS4 | PBE-GGA | relaxed

Computed properties:
* energy: -6.71 eV/atom
* spin magnetization: 4.5 Bohr magnetons per cell
* space group: P2/m (10)
* formation energy without anion corrections: -1719 meV per atom

Lattice parameters (Å, degrees): 6.8200 3.9080 6.8297 90.00 109.35 90.00
Sites, in units of the cell vectors:
Na: 0.0000 0.0000 0.0000
Ho: 0.0000 0.5000 0.5000
Ho: 0.5000 0.0000 0.5000
Np: 0.5000 0.5000 0.0000
S: 0.2497 0.0000 0.7454
S: 0.2544 0.5000 0.2595
S: 0.7456 0.5000 0.7405
S: 0.7503 0.0000 0.2546

2.
NaSrTl3Cd | PBE-GGA | relaxed

Computed properties:
* formation energy: -0.202 eV per atom
* energy: -2.04 eV/atom
* spin magnetization: 0.0 Bohr magnetons per cell
* space group: P2_1/m (11)

Lattice parameters (Å, degrees): 7.5609 5.0883 9.5629 90.00 98.39 90.00
Sites, in units of the cell vectors:
Na: 0.1758 0.2500 0.0773
Na: 0.8242 0.7500 0.9227
Sr: 0.2782 0.7500 0.7180
Sr: 0.7218 0.2500 0.2820
Tl: 0.0402 0.7500 0.2517
Tl: 0.1732 0.2500 0.4518
Tl: 0.4586 0.7500 0.0860
Tl: 0.5414 0.2500 0.9140
Tl: 0.8268 0.7500 0.5482
Tl: 0.9598 0.2500 0.7483
Cd: 0.4412 0.7500 0.3977
Cd: 0.5588 0.2500 0.6023

3.
Nb3Ru | PBE-GGA | relaxed

Computed properties:
* formation energy: -0.217 eV per atom
* energy: -10.09 eV/atom
* spin magnetization: 0.0 Bohr magnetons per cell
* space group: Fm-3m (225)

Lattice parameters (Å, degrees): 4.5744 4.5744 4.5744 60.00 60.00 60.00
Sites, in units of the cell vectors:
Nb: 0.0000 0.0000 0.0000
Nb: 0.2500 0.2500 0.2500
Nb: 0.7500 0.7500 0.7500
Ru: 0.5000 0.5000 0.5000

4.
ZnGeAsIrAu | PBE-GGA | relaxed

Computed properties:
* formation energy: -0.081 eV per atom
* energy: -4.62 eV/atom
* spin magnetization: 0.0 Bohr magnetons per cell
* space group: Cm (8)

Lattice parameters (Å, degrees): 3.8966 3.8966 7.3308 105.02 105.02 60.09
Sites, in units of the cell vectors:
Zn: 0.0000 0.0000 0.0000
Ge: 0.5259 0.5259 0.5733
As: 0.7484 0.7484 0.2352
Ir: 0.1321 0.1321 0.3898
Au: 0.2680 0.2680 0.7997